Entry from Alexandria via LeMat-Bulk: YFeRuO2 after structural relaxation (PBE+U).

POSCAR file:
```
YFeRuO2
1.0
3.816 0.000 0.000
0.000 5.640 0.000
0.000 0.000 3.816
Y Ru Fe O
1 1 1 2
Direct
0.000 0.500 0.000
0.500 0.500 0.500
0.000 0.000 0.000
0.000 0.000 0.500
0.500 0.000 0.000
```

Properties
ρ ... 5618 kg/m3
SG ... No. 123
Total energy ... -31.1 eV per cell

=====

Entry from Alexandria via LeMat-Bulk: ZnFeRu2O after structural relaxation (PBE+U).

POSCAR file:
```
ZnFeRu2O
1.0
-2.210 4.197 0.602
-2.305 -0.865 -2.431
-2.798 -1.953 3.348
Ru Zn Fe O
2 1 1 1
Direct
0.000 0.000 0.500
0.500 0.000 0.000
0.500 0.500 0.500
0.000 0.000 0.000
0.000 0.500 0.000
```

Properties
ρ ... 7127 kg/m3
SG ... No. 123
Total energy ... -25.9 eV per cell

=====

Entry from Alexandria via LeMat-Bulk: Fe2S2O7 after structural relaxation (PBE+U).

POSCAR file:
```
Fe2S2O7
1.0
-4.257 3.294 -1.881
1.498 -2.752 -4.764
-4.770 -7.208 5.592
Fe S O
4 4 14
Direct
0.369 0.752 0.487
0.248 0.631 0.013
0.752 0.369 0.987
0.631 0.248 0.513
0.180 0.196 0.220
0.196 0.180 0.720
0.804 0.820 0.280
0.820 0.804 0.780
0.019 0.743 0.344
0.107 0.349 0.130
0.353 0.347 0.360
0.908 0.092 0.250
0.743 0.019 0.844
0.349 0.107 0.630
0.347 0.353 0.860
0.653 0.647 0.140
0.651 0.893 0.370
0.257 0.981 0.156
0.092 0.908 0.750
0.647 0.653 0.640
0.893 0.651 0.870
0.981 0.257 0.656
```

Properties
ρ ... 3145 kg/m3
SG ... No. 15
Total energy ... -127.8 eV per cell

=====

Entry from Alexandria via LeMat-Bulk: Fe2SO5 after structural relaxation (PBE+U).

POSCAR file:
```
Fe2SO5
1.0
5.212 -0.219 2.167
-0.683 5.171 2.167
0.032 0.035 7.289
Fe S O
4 2 10
Direct
0.500 0.000 0.000
0.500 0.500 0.000
0.500 0.500 0.500
0.000 0.500 0.500
0.876 0.124 0.250
0.124 0.876 0.750
0.625 0.375 0.750
0.375 0.625 0.250
0.274 0.806 0.887
0.808 0.838 0.385
0.806 0.274 0.387
0.162 0.192 0.115
0.838 0.808 0.885
0.192 0.162 0.615
0.194 0.726 0.613
0.726 0.194 0.113
```

Properties
ρ ... 3820 kg/m3
SG ... No. 15
Total energy ... -103.2 eV per cell

=====

Entry from Alexandria via LeMat-Bulk: Fe3SO after structural relaxation (PBE+U).

POSCAR file:
```
Fe3SO
1.0
-1.869 2.802 -2.360
-3.571 -1.984 0.472
-0.817 2.264 3.335
S Fe O
1 3 1
Direct
0.500 0.500 0.500
0.000 0.500 0.000
0.000 0.000 0.500
0.500 0.000 0.000
0.000 0.000 0.000
```

Properties
ρ ... 5148 kg/m3
Energy relative to the lowest polymorph listed for this composition ... 0 meV/atom
SG ... No. 221
Total energy ... -25.0 eV per cell

=====

Entry from Alexandria via LeMat-Bulk: FeS3O after structural relaxation (PBE+U).

POSCAR file:
```
FeS3O
1.0
-2.247 3.409 1.085
-1.277 0.433 -4.004
-3.342 -2.457 0.800
S Fe O
3 1 1
Direct
0.000 0.500 0.000
0.000 0.000 0.500
0.500 0.000 0.000
0.500 0.500 0.500
0.000 0.000 0.000
```

Properties
ρ ... 3700 kg/m3
SG ... No. 221
Total energy ... -18.7 eV per cell

=====

Entry from Alexandria via LeMat-Bulk: FeSO7 after structural relaxation (PBE+U).

POSCAR file:
```
FeSO7
1.0
6.188 0.000 0.000
0.000 8.183 -2.027
0.000 1.614 4.336
S Fe O
2 2 14
Direct
0.250 0.214 0.503
0.750 0.786 0.497
0.500 0.000 0.000
0.000 0.000 0.000
0.450 0.179 0.685
0.950 0.821 0.315
0.550 0.821 0.315
0.050 0.179 0.685
0.250 0.378 0.379
0.750 0.622 0.621
0.250 0.100 0.268
0.750 0.900 0.732
0.750 0.096 0.114
0.250 0.904 0.886
0.348 0.582 0.846
0.848 0.418 0.154
0.652 0.418 0.154
0.152 0.582 0.846
```

Properties
ρ ... 2769 kg/m3
Energy relative to the lowest polymorph listed for this composition ... 0 meV/atom
SG ... No. 11
Total energy ... -103.9 eV per cell

=====

Entry from Alexandria via LeMat-Bulk: Fe3S2O15 after structural relaxation (PBE+U).

POSCAR file:
```
Fe3S2O15
1.0
-0.353 -1.861 -7.151
-0.834 -7.000 -2.243
-6.227 -2.439 -3.164
Fe S O
3 2 15
Direct
0.511 0.002 0.002
0.002 0.002 0.511
0.002 0.511 0.002
0.704 0.704 0.704
0.303 0.303 0.303
0.625 0.625 0.625
0.382 0.382 0.382
0.502 0.846 0.846
0.846 0.846 0.502
0.846 0.502 0.846
0.506 0.161 0.161
0.161 0.161 0.506
0.161 0.506 0.161
0.119 0.731 0.731
0.731 0.731 0.119
0.731 0.119 0.731
0.920 0.253 0.253
0.253 0.253 0.920
0.253 0.920 0.253
0.942 0.942 0.942
```

Properties
ρ ... 2899 kg/m3
SG ... No. 160
Total energy ... -111.0 eV per cell